# 1
An optimized crystal structure of PuTiRh. Source: Alexandria, functional GGA-PBE.

Computed properties:
- DOS(E_F): 19.57 states/eV per cell
- Relative energy among the computed polymorphs: 0 meV/atom
- Crystal system: tetragonal
- DFT formation energy: -0.3122 eV/atom
- Symmetry: P4/nmm (129)
- M_tot: 5.23 μB per formula unit
- Density: 11.12 g/cm3

abc: 3.884 3.884 7.813
angles: 90.00 90.00 90.00
Fractional positions:
1 Pu 0.250 0.250 0.158
2 Pu 0.750 0.750 0.842
3 Ti 0.250 0.750 0.500
4 Ti 0.750 0.250 0.500
5 Rh 0.250 0.250 0.765
6 Rh 0.750 0.750 0.235

---

# 2
An optimized crystal structure of Mg3OsPb. Source: Alexandria, functional GGA-PBE.

Computed properties:
- DOS(E_F): 2.14 states/eV per cell
- Relative energy among the computed polymorphs: 0 meV/atom
- Crystal system: cubic
- DFT formation energy: 0.4466 eV/atom
- Symmetry: Pm-3m (221)
- M_tot: 0.00 μB per formula unit
- Density: 6.15 g/cm3

abc: 5.027 5.027 5.027
angles: 90.00 90.00 90.00
Fractional positions:
1 Mg 0.000 0.000 0.500
2 Mg 0.000 0.500 0.000
3 Mg 0.500 0.000 0.000
4 Os 0.000 0.000 0.000
5 Pb 0.500 0.500 0.500

---

# 3
An optimized crystal structure of Rb2O4F. Source: Alexandria, functional GGA-PBE.

Computed properties:
- DOS(E_F): 10.49 states/eV per cell
- Crystal system: tetragonal
- Symmetry: P4_2/mnm (136)
- M_tot: 3.00 μB per formula unit
- VASP energy: -4.424 eV per atom
- Density: 2.58 g/cm3

abc: 7.410 7.410 5.942
angles: 90.00 90.00 90.00
Fractional positions:
1 Rb 0.243 0.243 0.000
2 Rb 0.257 0.743 0.500
3 Rb 0.743 0.257 0.500
4 Rb 0.757 0.757 0.000
5 O 0.149 0.272 0.500
6 O 0.228 0.649 0.000
7 O 0.272 0.149 0.500
8 O 0.351 0.772 0.000
9 O 0.649 0.228 0.000
10 O 0.728 0.851 0.500
11 O 0.772 0.351 0.000
12 O 0.851 0.728 0.500
13 F 0.000 0.000 0.000
14 F 0.500 0.500 0.500

---

# 4
An optimized crystal structure of Ce2ThPaSb4. Source: Alexandria, functional GGA-PBE.

Computed properties:
- DOS(E_F): 19.41 states/eV per cell
- Crystal system: monoclinic
- Symmetry: P2/m (10)
- M_tot: 2.84 μB per formula unit
- VASP energy: -6.521 eV per atom
- Density: 8.08 g/cm3

abc: 7.746 4.465 7.751
angles: 90.00 109.40 90.00
Fractional positions:
1 Ce 0.000 0.000 0.000
2 Ce 0.500 0.500 0.000
3 Th 0.000 0.500 0.500
4 Pa 0.500 0.000 0.500
5 Sb 0.255 0.000 0.748
6 Sb 0.256 0.500 0.255
7 Sb 0.744 0.500 0.745
8 Sb 0.745 0.000 0.252

---

# 5
An optimized crystal structure of Ho6Al5Zn. Source: Alexandria, functional GGA-PBE.

Computed properties:
- DOS(E_F): 4.36 states/eV per cell
- Crystal system: orthorhombic
- DFT formation energy: -0.3972 eV/atom
- Symmetry: Cmmm (65)
- M_tot: 0.00 μB per formula unit
- Density: 7.18 g/cm3

abc: 8.029 8.029 7.114
angles: 90.00 90.00 143.14
Fractional positions:
1 Ho 0.000 0.000 0.247
2 Ho 0.000 0.000 0.753
3 Ho 0.335 0.665 0.248
4 Ho 0.335 0.665 0.752
5 Ho 0.665 0.335 0.248
6 Ho 0.665 0.335 0.752
7 Al 0.167 0.833 0.000
8 Al 0.167 0.833 0.500
9 Al 0.500 0.500 0.500
10 Al 0.833 0.167 0.000
11 Al 0.833 0.167 0.500
12 Zn 0.500 0.500 0.000

---

# 6
An optimized crystal structure of Ir3RuRh. Source: Alexandria, functional GGA-PBE.

Computed properties:
- DOS(E_F): 18.08 states/eV per cell
- Relative energy among the computed polymorphs: 399 meV/atom
- Crystal system: trigonal
- DFT formation energy: 0.7163 eV/atom
- Symmetry: R-3c (167)
- M_tot: 0.01 μB per formula unit
- Density: 16.64 g/cm3

abc: 5.394 5.394 5.394
angles: 85.97 85.97 85.97
Fractional positions:
1 Ir 0.096 0.750 0.404
2 Ir 0.250 0.596 0.904
3 Ir 0.404 0.096 0.750
4 Ir 0.596 0.904 0.250
5 Ir 0.750 0.404 0.096
6 Ir 0.904 0.250 0.596
7 Ru 0.000 0.000 0.000
8 Ru 0.500 0.500 0.500
9 Rh 0.250 0.250 0.250
10 Rh 0.750 0.750 0.750

---

# 7
An optimized crystal structure of BiRh. Source: Alexandria, functional GGA-PBE.

Computed properties:
- DOS(E_F): 7.27 states/eV per cell
- Crystal system: tetragonal
- DFT formation energy: 0.0032 eV/atom
- Symmetry: I4/m (87)
- M_tot: 0.00 μB per formula unit
- Density: 10.60 g/cm3

abc: 7.212 7.212 7.212
angles: 94.60 94.60 147.09
Fractional positions:
1 Bi 0.113 0.787 0.900
2 Bi 0.213 0.113 0.327
3 Bi 0.787 0.887 0.673
4 Bi 0.887 0.213 0.100
5 Rh 0.103 0.413 0.516
6 Rh 0.413 0.897 0.310
7 Rh 0.587 0.103 0.690
8 Rh 0.897 0.587 0.484

---

# 8
An optimized crystal structure of GeIrN. Source: Alexandria, functional GGA-PBE.

Computed properties:
- DOS(E_F): 2.56 states/eV per cell
- Relative energy among the computed polymorphs: 189 meV/atom
- Crystal system: orthorhombic
- Symmetry: Imm2 (44)
- M_tot: 0.00 μB per formula unit
- Density: 10.83 g/cm3

abc: 5.516 5.516 5.516
angles: 150.23 149.04 43.49
Fractional positions:
1 Ge 0.000 0.000 0.000
2 Ir 0.802 0.302 0.500
3 N 0.612 0.112 0.500

---

# 9
An optimized crystal structure of RbSiIr3. Source: Alexandria, functional GGA-PBE.

Computed properties:
- DOS(E_F): 5.79 states/eV per cell
- Relative energy among the computed polymorphs: 2565 meV/atom
- Crystal system: cubic
- Symmetry: Pm-3m (221)
- M_tot: 1.55 μB per formula unit
- Density: 9.94 g/cm3

abc: 4.867 4.867 4.867
angles: 90.00 90.00 90.00
Fractional positions:
1 Rb 0.000 0.000 0.000
2 Si 0.500 0.500 0.500
3 Ir 0.000 0.000 0.500
4 Ir 0.000 0.500 0.000
5 Ir 0.500 0.000 0.000

---

# 10
An optimized crystal structure of KCu2Tc. Source: Alexandria, functional GGA-PBE.

Computed properties:
- DOS(E_F): 1.90 states/eV per cell
- Relative energy among the computed polymorphs: 0 meV/atom
- Crystal system: monoclinic
- DFT formation energy: 0.5657 eV/atom
- Symmetry: P2/m (10)
- M_tot: 0.88 μB per formula unit
- Density: 5.82 g/cm3

abc: 2.623 3.930 7.314
angles: 90.00 90.37 90.00
Fractional positions:
1 K 0.000 0.000 0.000
2 Cu 0.497 0.500 0.332
3 Cu 0.503 0.500 0.668
4 Tc 0.000 0.000 0.500

---

# 11
An optimized crystal structure of ZrIn2Au. Source: Alexandria, functional GGA-PBE.

Computed properties:
- DOS(E_F): 2.84 states/eV per cell
- Relative energy among the computed polymorphs: 244 meV/atom
- Crystal system: trigonal
- DFT formation energy: -0.1173 eV/atom
- Symmetry: R-3m (166)
- M_tot: 0.00 μB per formula unit
- Density: 9.81 g/cm3

abc: 9.765 9.765 9.765
angles: 19.15 19.15 19.15
Fractional positions:
1 Zr 0.000 0.000 0.000
2 In 0.246 0.246 0.246
3 In 0.754 0.754 0.754
4 Au 0.500 0.500 0.500

---

# 12
An optimized crystal structure of Nd2LuS. Source: Alexandria, functional GGA-PBE.

Computed properties:
- DOS(E_F): 4.29 states/eV per cell
- Crystal system: trigonal
- Symmetry: R-3m (166)
- M_tot: 0.79 μB per formula unit
- VASP energy: -5.401 eV per atom
- Density: 6.81 g/cm3

abc: 9.695 9.695 9.695
angles: 22.87 22.87 22.87
Fractional positions:
1 Nd 0.229 0.229 0.229
2 Nd 0.771 0.771 0.771
3 Lu 0.000 0.000 0.000
4 S 0.500 0.500 0.500

---

# 13
An optimized crystal structure of NdCuSn. Source: Alexandria, functional GGA-PBE.

Computed properties:
- DOS(E_F): 2.26 states/eV per cell
- Crystal system: hexagonal
- DFT formation energy: -0.5371 eV/atom
- Symmetry: P-6m2 (187)
- M_tot: 0.00 μB per formula unit
- Density: 7.61 g/cm3

abc: 4.565 4.565 3.948
angles: 90.00 90.00 120.00
Fractional positions:
1 Nd 0.000 0.000 0.000
2 Cu 0.333 0.667 0.500
3 Sn 0.667 0.333 0.500

---

# 14
An optimized crystal structure of TiVCr2. Source: Alexandria, functional GGA-PBE.

Computed properties:
- DOS(E_F): 6.14 states/eV per cell
- Relative energy among the computed polymorphs: 14 meV/atom
- Crystal system: tetragonal
- DFT formation energy: 0.0240 eV/atom
- Symmetry: P4/mmm (123)
- M_tot: 1.05 μB per formula unit
- Density: 6.39 g/cm3

abc: 4.205 4.205 2.980
angles: 90.00 90.00 90.00
Fractional positions:
1 Ti 0.000 0.000 0.000
2 V 0.500 0.500 0.000
3 Cr 0.000 0.500 0.500
4 Cr 0.500 0.000 0.500

---

# 15
An optimized crystal structure of SrRu2Se. Source: Alexandria, functional GGA-PBE.

Computed properties:
- DOS(E_F): 5.02 states/eV per cell
- Crystal system: orthorhombic
- Symmetry: Pmm2 (25)
- M_tot: 0.00 μB per formula unit
- VASP energy: -5.770 eV per atom
- Density: 7.75 g/cm3

abc: 3.016 3.844 6.817
angles: 90.00 90.00 90.00
Fractional positions:
1 Sr 0.000 0.000 0.000
2 Ru 0.000 0.000 0.472
3 Ru 0.500 0.500 0.325
4 Se 0.500 0.500 0.693

---

# 16
An optimized crystal structure of KSr2. Source: Alexandria, functional GGA-PBE.

Computed properties:
- DOS(E_F): 3.95 states/eV per cell
- Crystal system: cubic
- DFT formation energy: 0.1495 eV/atom
- Symmetry: Fd-3m (227)
- M_tot: 0.00 μB per formula unit
- Density: 1.82 g/cm3

abc: 8.211 8.211 8.211
angles: 60.00 60.00 60.00
Fractional positions:
1 K 0.125 0.125 0.125
2 K 0.875 0.875 0.875
3 Sr 0.000 0.500 0.500
4 Sr 0.500 0.000 0.500
5 Sr 0.500 0.500 0.000
6 Sr 0.500 0.500 0.500

---

# 17
An optimized crystal structure of Sn3Pt. Source: Alexandria, functional GGA-PBE.

Computed properties:
- DOS(E_F): 2.28 states/eV per cell
- Relative energy among the computed polymorphs: 79 meV/atom
- Crystal system: orthorhombic
- DFT formation energy: -0.1646 eV/atom
- Symmetry: Imm2 (44)
- M_tot: 0.00 μB per formula unit
- Density: 9.36 g/cm3

abc: 6.855 6.855 6.855
angles: 150.42 48.99 141.86
Fractional positions:
1 Sn 0.000 0.000 0.000
2 Sn 0.315 0.499 0.816
3 Sn 0.683 0.499 0.184
4 Pt 0.500 0.000 0.500

---

# 18
An optimized crystal structure of Pm2Nd4DyHo2. Source: Alexandria, functional GGA-PBE.

Computed properties:
- DOS(E_F): 14.22 states/eV per cell
- Crystal system: monoclinic
- DFT formation energy: 0.0196 eV/atom
- Symmetry: C2/m (12)
- M_tot: 0.00 μB per formula unit
- Density: 7.45 g/cm3

abc: 8.121 8.121 8.080
angles: 107.59 107.59 36.87
Fractional positions:
1 Pm 0.112 0.112 0.170
2 Pm 0.888 0.888 0.830
3 Nd 0.222 0.222 0.830
4 Nd 0.445 0.445 0.170
5 Nd 0.555 0.555 0.830
6 Nd 0.778 0.778 0.170
7 Dy 0.000 0.000 0.500
8 Ho 0.333 0.333 0.500
9 Ho 0.667 0.667 0.500

---

# 19
An optimized crystal structure of PmDy7Er4. Source: Alexandria, functional GGA-PBE.

Computed properties:
- DOS(E_F): 20.05 states/eV per cell
- Relative energy among the computed polymorphs: 283 meV/atom
- Crystal system: monoclinic
- DFT formation energy: 0.2797 eV/atom
- Symmetry: C2/m (12)
- M_tot: 0.00 μB per formula unit
- Density: 8.32 g/cm3

abc: 6.671 6.671 12.587
angles: 114.95 114.95 51.96
Fractional positions:
1 Pm 0.000 0.000 0.000
2 Dy 0.059 0.059 0.328
3 Dy 0.211 0.211 0.922
4 Dy 0.366 0.366 0.497
5 Dy 0.500 0.500 0.000
6 Dy 0.634 0.634 0.503
7 Dy 0.789 0.789 0.078
8 Dy 0.941 0.941 0.672
9 Er 0.250 0.250 0.684
10 Er 0.366 0.366 0.225
11 Er 0.634 0.634 0.775
12 Er 0.750 0.750 0.316

---

# 20
An optimized crystal structure of AuSe2Br. Source: Alexandria, functional GGA-PBE.

Computed properties:
- DOS(E_F): 2.90 states/eV per cell
- Crystal system: cubic
- Symmetry: F-43m (216)
- M_tot: 0.00 μB per formula unit
- VASP energy: -2.361 eV per atom
- Density: 8.43 g/cm3

abc: 4.947 4.947 4.947
angles: 60.00 60.00 60.00
Fractional positions:
1 Au 0.000 0.000 0.000
2 Se 0.500 0.500 0.500
3 Se 0.750 0.750 0.750
4 Br 0.250 0.250 0.250

---

# 21
An optimized crystal structure of Ho2GaCo. Source: Alexandria, functional GGA-PBE.

Computed properties:
- DOS(E_F): 1.39 states/eV per cell
- Crystal system: trigonal
- DFT formation energy: 0.0661 eV/atom
- Symmetry: R-3m (166)
- M_tot: 0.00 μB per formula unit
- Density: 7.05 g/cm3

abc: 9.427 9.427 9.427
angles: 22.53 22.53 22.53
Fractional positions:
1 Ho 0.112 0.112 0.112
2 Ho 0.888 0.888 0.888
3 Ga 0.000 0.000 0.000
4 Co 0.500 0.500 0.500

---

# 22
An optimized crystal structure of CsRbGeS. Source: Alexandria, functional GGA-PBE.

Computed properties:
- DOS(E_F): 4.35 states/eV per cell
- Relative energy among the computed polymorphs: 98 meV/atom
- Crystal system: orthorhombic
- Symmetry: Amm2 (38)
- M_tot: 0.01 μB per formula unit
- Density: 2.81 g/cm3

abc: 6.260 7.344 7.344
angles: 34.45 90.00 90.00
Fractional positions:
1 Cs 0.000 0.000 0.000
2 Rb 0.500 0.761 0.761
3 Ge 0.000 0.278 0.278
4 S 0.000 0.691 0.691

---

# 23
An optimized crystal structure of FeSe3. Source: Alexandria, functional GGA-PBE.

Computed properties:
- DOS(E_F): 3.22 states/eV per cell
- Crystal system: cubic
- Symmetry: Pm-3m (221)
- M_tot: 3.48 μB per formula unit
- VASP energy: -4.376 eV per atom
- Density: 4.46 g/cm3

abc: 4.775 4.775 4.775
angles: 90.00 90.00 90.00
Fractional positions:
1 Fe 0.000 0.000 0.000
2 Se 0.000 0.000 0.500
3 Se 0.000 0.500 0.000
4 Se 0.500 0.000 0.000

---

# 24
An optimized crystal structure of Ca2Te. Source: Alexandria, functional GGA-PBE.

Computed properties:
- DOS(E_F): 4.00 states/eV per cell
- Crystal system: orthorhombic
- Symmetry: Pnnm (58)
- M_tot: 0.00 μB per formula unit
- VASP energy: -3.227 eV per atom
- Density: 2.94 g/cm3

abc: 7.274 7.568 4.269
angles: 90.00 90.00 90.00
Fractional positions:
1 Ca 0.227 0.153 0.000
2 Ca 0.273 0.653 0.500
3 Ca 0.727 0.347 0.500
4 Ca 0.773 0.847 0.000
5 Te 0.000 0.500 0.000
6 Te 0.500 0.000 0.500

---

# 25
An optimized crystal structure of NbGaIO2. Source: Alexandria, functional GGA-PBE.

Computed properties:
- DOS(E_F): 5.34 states/eV per cell
- Relative energy among the computed polymorphs: 1116 meV/atom
- Crystal system: tetragonal
- Symmetry: P4/mmm (123)
- M_tot: 2.66 μB per formula unit
- Density: 6.10 g/cm3

abc: 3.948 3.948 5.613
angles: 90.00 90.00 90.00
Fractional positions:
1 Nb 0.000 0.000 0.000
2 Ga 0.500 0.500 0.500
3 I 0.500 0.500 0.000
4 O 0.000 0.500 0.500
5 O 0.500 0.000 0.500

---

# 26
An optimized crystal structure of LaDyY2. Source: Alexandria, functional GGA-PBE.

Computed properties:
- DOS(E_F): 6.85 states/eV per cell
- Relative energy among the computed polymorphs: 25 meV/atom
- Crystal system: tetragonal
- DFT formation energy: 0.0318 eV/atom
- Symmetry: P4/mmm (123)
- M_tot: 0.00 μB per formula unit
- Density: 5.97 g/cm3

abc: 3.616 3.616 10.201
angles: 90.00 90.00 90.00
Fractional positions:
1 La 0.000 0.000 0.000
2 Dy 0.000 0.000 0.500
3 Y 0.500 0.500 0.257
4 Y 0.500 0.500 0.743